No. 1
## TlCuCl3 (PBE)

Data for crystalline TlCuCl3 at its relaxed geometry.

The calculation puts the formation energy from raw total energies at -0.66 eV per atom.

The structure belongs to space group Pnma (No. 62); the cell edges are 8.6655, 11.1550 and 6.8661 Å and the angles 90.00°, 90.00° and 90.00°. Symmetry generates all atoms from Tl at (0.0000, 0.0000, 0.0000), Cu at (0.1206, 0.2500, 0.4780), Cl at (0.0064, 0.2500, 0.1978) and Cl at (0.1903, 0.0954, 0.6565).

---

No. 2
## Th4Ge3Te (PBE)

Data for crystalline Th4Ge3Te at its relaxed geometry.

The calculation puts the formation energy from raw total energies at -0.88 eV per atom.

The structure belongs to space group Pmmm (No. 47); the cell edges are 4.3336, 6.1509 and 8.7551 Å and the angles 90.00°, 90.00° and 90.00°. Symmetry generates all atoms from Th at (0.0000, 0.0000, 0.0000), Th at (0.0000, 0.0000, 0.5000), Th at (0.5000, 0.5000, 0.2291), Ge at (0.0000, 0.5000, 0.0000), Ge at (0.5000, 0.0000, 0.2527) and Te at (0.0000, 0.5000, 0.5000).

---

No. 3
## TmCd2RuO6 (PBE)

Data for crystalline TmCd2RuO6 at its relaxed geometry.

The calculation puts the formation energy from raw total energies at -1.38 eV per atom.

The structure belongs to space group P4mm (No. 99); the cell edges are 5.7479, 5.7479 and 4.4883 Å and the angles 90.00°, 90.00° and 90.00°. Symmetry generates all atoms from Tm at (0.0000, 0.0000, 0.0000), Cd at (0.0000, 0.5000, 0.3546), Ru at (0.5000, 0.5000, 0.9719), O at (0.0000, 0.0000, 0.5226), O at (0.2696, 0.2696, 0.0885) and O at (0.5000, 0.5000, 0.5830).

---

No. 4
## ZnBiTe2 (PBE)

Data for crystalline ZnBiTe2 at its relaxed geometry.

For the energy relative to the lowest polymorph listed for this composition, the calculation gives 0.229 eV per atom. The calculation puts the formation energy from raw total energies at 0.15 eV per atom.

The structure belongs to space group Fm-3m (No. 225); the cell edges are 7.6065, 7.6065 and 7.6065 Å and the angles 90.00°, 90.00° and 90.00°. Symmetry generates all atoms from Zn at (0.0000, 0.0000, 0.0000), Bi at (0.0000, 0.0000, 0.5000) and Te at (0.2500, 0.2500, 0.2500).

---

No. 5
## GdYMnCu (PBE)

Data for crystalline GdYMnCu at its relaxed geometry.

Its formation energy is 0.27 eV/f.u.

The structure belongs to space group F-43m (No. 216); the cell edges are 7.0607, 7.0607 and 7.0607 Å and the angles 90.00°, 90.00° and 90.00°. Symmetry generates all atoms from Gd at (0.0000, 0.0000, 0.0000), Y at (0.0000, 0.0000, 0.5000), Mn at (0.2500, 0.2500, 0.7500) and Cu at (0.2500, 0.2500, 0.2500).

---

No. 6
## BeV2GeRh (PBE)

Data for crystalline BeV2GeRh at its relaxed geometry.

Its formation energy is 5.58 eV/f.u.

The structure belongs to space group P4/mmm (No. 123); the cell edges are 4.4694, 4.4694 and 4.4831 Å and the angles 90.00°, 90.00° and 90.00°. Symmetry generates all atoms from Be at (0.0000, 0.0000, 0.0000), V at (0.0000, 0.5000, 0.5000), Ge at (0.5000, 0.5000, 0.5000) and Rh at (0.5000, 0.5000, 0.0000).

---

No. 7
## Si7Ni12Pd2 (PBE)

Data for crystalline Si7Ni12Pd2 at its relaxed geometry.

The calculation puts the formation energy from raw total energies at -0.54 eV per atom.

The structure belongs to space group P-6 (No. 174); the cell edges are 9.8335, 9.8335 and 2.9303 Å and the angles 90.00°, 90.00° and 120.00°. Symmetry generates all atoms from Si at (0.0000, 0.0000, 0.0000), Si at (0.1303, 0.7083, 0.5000), Si at (0.4208, 0.1297, 0.0000), Ni at (0.0710, 0.4529, 0.5000), Ni at (0.0962, 0.2609, 0.0000), Ni at (0.2337, 0.1482, 0.5000), Ni at (0.4475, 0.3742, 0.0000), Pd at (0.3333, 0.6667, 0.0000) and Pd at (0.6667, 0.3333, 0.5000).

---

No. 8
## CeCdRh (PBE)

Data for crystalline CeCdRh at its relaxed geometry.

Its formation energy is -1.66 eV/f.u.

The structure belongs to space group C2/m (No. 12); the cell edges are 10.9881, 4.9166 and 5.0699 Å and the angles 90.00°, 102.89° and 90.00°. Symmetry generates all atoms from Ce at (0.1336, 0.0000, 0.3126), Cd at (0.0733, 0.5000, 0.7852) and Rh at (0.1994, 0.0000, 0.8141).

---

No. 9
## YZnGe (PBE)

Data for crystalline YZnGe at its relaxed geometry.

Its formation energy is -1.84 eV/f.u.

The structure belongs to space group Immm (No. 71); the cell edges are 4.1965, 7.3166 and 8.0355 Å and the angles 90.00°, 90.00° and 90.00°. Symmetry generates all atoms from Y at (0.0000, 0.0000, 0.2441), Zn at (0.0000, 0.3389, 0.0000) and Ge at (0.0000, 0.3280, 0.5000).

---

No. 10
## Pr12ThPb3 (PBE)

Data for crystalline Pr12ThPb3 at its relaxed geometry.

Its formation energy is -3.78 eV/f.u.

The structure belongs to space group P4/mmm (No. 123); the cell edges are 5.0540, 5.0540 and 20.4584 Å and the angles 90.00°, 90.00° and 90.00°. Symmetry generates all atoms from Pr at (0.0000, 0.0000, 0.0000), Pr at (0.0000, 0.0000, 0.2450), Pr at (0.0000, 0.0000, 0.5000), Pr at (0.0000, 0.5000, 0.1227), Pr at (0.0000, 0.5000, 0.3726), Th at (0.5000, 0.5000, 0.5000), Pb at (0.5000, 0.5000, 0.0000) and Pb at (0.5000, 0.5000, 0.2468).

---

No. 11
## ReTcCl2 (PBE)

Data for crystalline ReTcCl2 at its relaxed geometry.

For the energy relative to the lowest polymorph listed for this composition, the calculation gives 0.000 eV per atom. The calculation puts the formation energy from raw total energies at -0.15 eV per atom.

The structure belongs to space group Pmm2 (No. 25); the cell edges are 2.9479, 3.1121 and 8.6981 Å and the angles 90.00°, 90.00° and 90.00°. Symmetry generates all atoms from Re at (0.0000, 0.0000, 0.0000), Tc at (0.5000, 0.5000, 0.1744), Cl at (0.0000, 0.5000, 0.3940) and Cl at (0.5000, 0.0000, 0.7813).

---

No. 12
## ThSb2Pd7Pb2 (PBE)

Data for crystalline ThSb2Pd7Pb2 at its relaxed geometry.

The calculation puts the formation energy from raw total energies at -0.47 eV per atom.

The structure belongs to space group C2/m (No. 12); the cell edges are 5.8833, 5.8577 and 15.3354 Å and the angles 90.00°, 95.79° and 90.00°. Symmetry generates all atoms from Th at (0.0000, 0.0000, 0.0000), Sb at (0.0687, 0.5000, 0.2514), Pd at (0.0000, 0.5000, 0.0000), Pd at (0.1192, 0.5000, 0.4252), Pd at (0.2114, 0.2503, 0.8608) and Pb at (0.1233, 0.0000, 0.4026).

---

No. 13
## TaSBr2 (PBE)

Data for crystalline TaSBr2 at its relaxed geometry.

For the energy relative to the lowest polymorph listed for this composition, the calculation gives 0.282 eV per atom. The calculation puts the formation energy from raw total energies at -0.46 eV per atom.

The structure belongs to space group I-42d (No. 122); the cell edges are 9.6834, 9.6834 and 4.7028 Å and the angles 90.00°, 90.00° and 90.00°. Symmetry generates all atoms from Ta at (0.0000, 0.0000, 0.0000), S at (0.0000, 0.0000, 0.5000) and Br at (0.1044, 0.2500, 0.1250).

---

No. 14
## Ac3P2OsN6 (PBE)

Data for crystalline Ac3P2OsN6 at its relaxed geometry.

The calculation puts the formation energy from raw total energies at -0.72 eV per atom.

The structure belongs to space group P-3m1 (No. 164); the cell edges are 5.5949, 5.5949 and 6.7638 Å and the angles 90.00°, 90.00° and 120.00°. Symmetry generates all atoms from Ac at (0.0000, 0.0000, 0.0000), Ac at (0.3333, 0.6667, 0.6583), P at (0.3333, 0.6667, 0.2068), Os at (0.0000, 0.0000, 0.5000) and N at (0.1720, 0.3440, 0.3005).

---

No. 15
## Zn2IrN (PBE)

Data for crystalline Zn2IrN at its relaxed geometry.

The calculation puts the formation energy from raw total energies at 0.53 eV per atom.

The structure belongs to space group R-3m (No. 166, hexagonal axes); the cell edges are 2.8822, 2.8822 and 22.3710 Å and the angles 90.00°, 90.00° and 120.00°. Symmetry generates all atoms from Zn at (0.0000, 0.0000, 0.1126), Ir at (0.0000, 0.0000, 0.0000) and N at (0.0000, 0.0000, 0.5000).

---

No. 16
## ScBe17Os (PBE)

Data for crystalline ScBe17Os at its relaxed geometry.

Its formation energy is -2.75 eV/f.u.

The structure belongs to space group R3m (No. 160, hexagonal axes); the cell edges are 7.3561, 7.3561 and 10.7293 Å and the angles 90.00°, 90.00° and 120.00°. Symmetry generates all atoms from Sc at (0.0000, 0.0000, 0.0000), Be at (0.0000, 0.0000, 0.2460), Be at (0.0000, 0.0000, 0.4428), Be at (0.0061, 0.5030, 0.8397), Be at (0.0066, 0.3008, 0.3407), Be at (0.0092, 0.5046, 0.1890), Be at (0.0142, 0.5071, 0.4955) and Os at (0.0000, 0.0000, 0.6713).

---

No. 17
## BaCaGa2Pd (PBE)

Data for crystalline BaCaGa2Pd at its relaxed geometry.

Its formation energy is -1.94 eV/f.u.

The structure belongs to space group P4/mmm (No. 123); the cell edges are 5.0428, 5.0428 and 5.3375 Å and the angles 90.00°, 90.00° and 90.00°. Symmetry generates all atoms from Ba at (0.0000, 0.0000, 0.0000), Ca at (0.5000, 0.5000, 0.0000), Ga at (0.0000, 0.5000, 0.5000) and Pd at (0.5000, 0.5000, 0.5000).

---

No. 18
## TbDy2Ga3Pt4 (PBE)

Data for crystalline TbDy2Ga3Pt4 at its relaxed geometry.

Its formation energy is -9.57 eV/f.u.

The structure belongs to space group P-4m2 (No. 115); the cell edges are 4.1673, 4.1673 and 11.5765 Å and the angles 90.00°, 90.00° and 90.00°. Symmetry generates all atoms from Tb at (0.0000, 0.0000, 0.0000), Dy at (0.0000, 0.5000, 0.7257), Ga at (0.0000, 0.5000, 0.3734), Ga at (0.5000, 0.5000, 0.0000), Pt at (0.0000, 0.0000, 0.5000), Pt at (0.0000, 0.5000, 0.1609) and Pt at (0.5000, 0.5000, 0.5000).

---

No. 19
## TmTiAg (PBE)

Data for crystalline TmTiAg at its relaxed geometry.

Its formation energy is -0.32 eV/f.u.

The structure belongs to space group P4/nmm (No. 129, origin choice 2); the cell edges are 3.5876, 3.5876 and 9.8959 Å and the angles 90.00°, 90.00° and 90.00°. Symmetry generates all atoms from Tm at (0.2500, 0.2500, 0.2448), Ti at (0.2500, 0.2500, 0.5553) and Ag at (0.2500, 0.2500, 0.9227).

---

No. 20
## HfReAs2 (PBE)

Data for crystalline HfReAs2 at its relaxed geometry.

For the energy relative to the lowest polymorph listed for this composition, the calculation gives 0.314 eV per atom. Its formation energy is 0.63 eV/f.u.

The structure belongs to space group I-42d (No. 122); the cell edges are 4.0480, 4.0480 and 18.1523 Å and the angles 90.00°, 90.00° and 90.00°. Symmetry generates all atoms from Hf at (0.0000, 0.0000, 0.0000), Re at (0.0000, 0.0000, 0.5000) and As at (0.2234, 0.2500, 0.6250).

---

No. 21
## Li5GaPd6 (PBE)

Data for crystalline Li5GaPd6 at its relaxed geometry.

For the energy relative to the lowest polymorph listed for this composition, the calculation gives 0.000 eV per atom. Its formation energy is -6.49 eV/f.u.

The structure belongs to space group C2/m (No. 12); the cell edges are 13.4612, 5.9673 and 4.2608 Å and the angles 90.00°, 107.81° and 90.00°. Symmetry generates all atoms from Li at (0.0000, 0.0000, 0.0000), Li at (0.1668, 0.5000, 0.6643), Li at (0.1681, 0.0000, 0.6656), Ga at (0.0000, 0.5000, 0.0000), Pd at (0.0000, 0.2501, 0.5000) and Pd at (0.1656, 0.2499, 0.1630).

---

No. 22
## CaDy2Pb (PBE)

Data for crystalline CaDy2Pb at its relaxed geometry.

For the energy relative to the lowest polymorph listed for this composition, the calculation gives 0.000 eV per atom. Its formation energy is -0.96 eV/f.u.

The structure belongs to space group P4/mmm (No. 123); the cell edges are 4.9195, 4.9195 and 4.9084 Å and the angles 90.00°, 90.00° and 90.00°. Symmetry generates all atoms from Ca at (0.0000, 0.0000, 0.0000), Dy at (0.0000, 0.5000, 0.5000) and Pb at (0.5000, 0.5000, 0.0000).

---

No. 23
## SmErPa4 (PBE)

Data for crystalline SmErPa4 at its relaxed geometry.

Its formation energy is 1.42 eV/f.u.

The structure belongs to space group F-43m (No. 216); the cell edges are 8.7089, 8.7089 and 8.7089 Å and the angles 90.00°, 90.00° and 90.00°. Symmetry generates all atoms from Sm at (0.0000, 0.0000, 0.0000), Er at (0.2500, 0.2500, 0.7500) and Pa at (0.1249, 0.1249, 0.3751).